Record 1
A plane-wave DFT calculation with GGA-PBE was carried out for a geometry-optimized LaZnBi3 structure.

Geometry as CIF:
```
data_LaZnBi3
_space_group_name_H-M_alt 'P m -3 m'
_space_group_IT_number 221
_space_group_name_Hall '-P 4 2 3'
_cell_length_a 5.433
_cell_length_b 5.433
_cell_length_c 5.433
_cell_angle_alpha 90.00
_cell_angle_beta 90.00
_cell_angle_gamma 90.00
loop_
_atom_site_label
_atom_site_type_symbol
_atom_site_fract_x
_atom_site_fract_y
_atom_site_fract_z
_atom_site_occupancy
La1 La 0.000 0.000 0.000 1
Zn1 Zn 0.500 0.500 0.500 1
Bi1 Bi 0.000 0.500 0.500 1
```

Values from the calculation:
magnetization	0.00	μB/atom
VASP energy	-3.63	eV per atom
energy above the most stable polymorph in this dataset	0.000	eV per atom
D(E_F)	4.06	states/eV per cell

=====

Record 2
A plane-wave DFT calculation with GGA-PBE was carried out for a geometry-optimized SrLiTi2F structure.

Geometry as CIF:
```
data_SrLiTi2F
_space_group_name_H-M_alt 'P 4/m m m'
_space_group_IT_number 123
_space_group_name_Hall '-P 4 2'
_cell_length_a 4.420
_cell_length_b 4.420
_cell_length_c 5.610
_cell_angle_alpha 90.00
_cell_angle_beta 90.00
_cell_angle_gamma 90.00
loop_
_atom_site_label
_atom_site_type_symbol
_atom_site_fract_x
_atom_site_fract_y
_atom_site_fract_z
_atom_site_occupancy
Sr1 Sr 0.000 0.000 0.000 1
Li1 Li 0.500 0.500 0.000 1
Ti1 Ti 0.000 0.500 0.500 1
F1 F 0.500 0.500 0.500 1
```

Values from the calculation:
magnetization	0.80	μB/atom
VASP energy	-4.49	eV per atom
ΔE_f (raw)	-23	kJ/mol of atoms
D(E_F)	4.89	states/eV per cell

=====

Record 3
A plane-wave DFT calculation with GGA-PBE was carried out for a geometry-optimized CaCoSi2Ni structure.

Geometry as CIF:
```
data_CaCoSi2Ni
_space_group_name_H-M_alt 'I -4 m 2'
_space_group_IT_number 119
_space_group_name_Hall 'I -4 -2'
_cell_length_a 3.930
_cell_length_b 3.930
_cell_length_c 9.859
_cell_angle_alpha 90.00
_cell_angle_beta 90.00
_cell_angle_gamma 90.00
loop_
_atom_site_label
_atom_site_type_symbol
_atom_site_fract_x
_atom_site_fract_y
_atom_site_fract_z
_atom_site_occupancy
Ca1 Ca 0.000 0.000 0.000 1
Co1 Co 0.000 0.500 0.250 1
Si1 Si 0.000 0.000 0.371 1
Ni1 Ni 0.000 0.500 0.750 1
```

Values from the calculation:
magnetization	0.10	μB/atom
VASP energy	-5.76	eV per atom
ΔE_f (raw)	-59	kJ/mol of atoms
D(E_F)	7.45	states/eV per cell

=====

Record 4
A plane-wave DFT calculation with GGA-PBE was carried out for a geometry-optimized TcBr structure.

Geometry as CIF:
```
data_TcBr
_space_group_name_H-M_alt 'P 4/n m m'
_space_group_IT_number 129
_cell_length_a 3.024
_cell_length_b 3.024
_cell_length_c 8.907
_cell_angle_alpha 90.00
_cell_angle_beta 90.00
_cell_angle_gamma 90.00
loop_
_space_group_symop_operation_xyz
'x,y,z'
'-x,-y,-z'
'-y+1/2,x,z'
'y+1/2,-x,-z'
'-x+1/2,-y+1/2,z'
'x+1/2,y+1/2,-z'
'y,-x+1/2,z'
'-y,x+1/2,-z'
'x+1/2,-y,-z'
'-x+1/2,y,z'
'-y,-x,-z'
'y,x,z'
'-x,y+1/2,-z'
'x,-y+1/2,z'
'y+1/2,x+1/2,-z'
'-y+1/2,-x+1/2,z'
loop_
_atom_site_label
_atom_site_type_symbol
_atom_site_fract_x
_atom_site_fract_y
_atom_site_fract_z
_atom_site_occupancy
Tc1 Tc 0.250 0.250 0.091 1
Br1 Br 0.250 0.250 0.707 1
```

Values from the calculation:
magnetization	0.00	μB/atom
VASP energy	-5.76	eV per atom
ΔE_f (raw)	25	kJ/mol of atoms
energy above the most stable polymorph in this dataset	0.218	eV per atom
D(E_F)	3.90	states/eV per cell